1.
YLuOsAu | the Alexandria database | PBE | relaxed; calculated formation energy = -196 kJ/mol of formula units; density of states at the Fermi level = 0.413 states/eV per atom; total magnetic moment = 0.0 Bohr magnetons per cell
1.0
-1.4641 -4.5100 1.2324
-0.4315 -3.4611 -3.4406
3.1750 -3.7288 -0.1354
Y Os Lu Au
1 1 1 1
Direct
0.7500 0.7500 0.7500 Y
0.5000 0.5000 0.5000 Os
0.2500 0.2500 0.2500 Lu
0.0000 0.0000 0.0000 Au

2.
Pr2Al3Pt4Au | the Alexandria database | PBE | relaxed; calculated formation energy = -955 kJ/mol of formula units; density of states at the Fermi level = 0.435 states/eV per atom; total magnetic moment = 0.0 Bohr magnetons per cell
1.0
-3.4825 2.1959 0.3408
-0.4448 -0.0681 -4.1065
-6.0868 -9.7804 0.8214
Pr Al Pt Au
2 3 4 1
Direct
0.5000 0.0000 0.2545 Pr
0.0000 0.5000 0.7455 Pr
0.0000 0.0000 0.5000 Al
0.5000 0.0000 0.8761 Al
0.0000 0.5000 0.1239 Al
0.5000 0.5000 0.0000 Pt
0.0000 0.0000 0.0000 Pt
0.5000 0.0000 0.6614 Pt
0.0000 0.5000 0.3386 Pt
0.5000 0.5000 0.5000 Au

3.
La2Zn3InNi12 | the Alexandria database | PBE | relaxed; calculated formation energy = 116 kJ/mol of formula units; density of states at the Fermi level = 0.844 states/eV per atom; total magnetic moment = 0.0 Bohr magnetons per cell
1.0
-7.6966 -3.9768 -3.3553
-6.9299 -5.5885 2.6563
-9.2133 0.0656 1.1926
La Zn In Ni
2 3 1 12
Direct
0.6375 0.6375 0.6375 La
0.3625 0.3625 0.3625 La
0.5000 0.0000 0.0000 Zn
0.0000 0.5000 0.0000 Zn
0.0000 0.0000 0.5000 Zn
0.0000 0.0000 0.0000 In
0.4166 0.4166 0.7958 Ni
0.8667 0.8667 0.4701 Ni
0.4701 0.8667 0.8667 Ni
0.7958 0.4166 0.4166 Ni
0.8667 0.4701 0.8667 Ni
0.4166 0.7958 0.4166 Ni
0.5834 0.5834 0.2042 Ni
0.1333 0.1333 0.5299 Ni
0.5299 0.1333 0.1333 Ni
0.2042 0.5834 0.5834 Ni
0.1333 0.5299 0.1333 Ni
0.5834 0.2042 0.5834 Ni

4.
CdPd6Pt23 | the Alexandria database | PBE | relaxed; calculated formation energy = -63 kJ/mol of formula units; density of states at the Fermi level = 1.638 states/eV per atom; total magnetic moment = 0.0 Bohr magnetons per cell
1.0
8.6858 1.3161 3.9401
4.1361 7.7503 3.9401
0.0000 0.0000 7.8803
Cd Pd Pt
1 6 23
Direct
0.5000 0.5000 0.5000 Cd
0.7498 0.7498 0.2502 Pd
0.2502 0.2502 0.7498 Pd
0.7500 0.2500 0.2500 Pd
0.2500 0.7500 0.7500 Pd
0.7500 0.2500 0.7500 Pd
0.2500 0.7500 0.2500 Pd
0.6192 0.1255 0.1277 Pt
0.3808 0.8745 0.8723 Pt
0.1277 0.1277 0.6192 Pt
0.1277 0.1277 0.1255 Pt
0.8723 0.8723 0.3808 Pt
0.8723 0.8723 0.8745 Pt
0.1255 0.6192 0.1277 Pt
0.8745 0.3808 0.8723 Pt
0.5000 0.5000 0.0000 Pt
0.0000 0.0000 0.5000 Pt
0.5000 0.0000 0.0000 Pt
0.0000 0.5000 0.5000 Pt
0.5000 0.0000 0.5000 Pt
0.0000 0.5000 0.0000 Pt
0.8880 0.3728 0.3696 Pt
0.1120 0.6272 0.6304 Pt
0.3696 0.3696 0.8880 Pt
0.3696 0.3696 0.3728 Pt
0.6304 0.6304 0.1120 Pt
0.6304 0.6304 0.6272 Pt
0.3728 0.8880 0.3696 Pt
0.6272 0.1120 0.6304 Pt
0.0000 0.0000 0.0000 Pt

5.
Ca4HfTa3N8 | the Alexandria database | PBE | relaxed; E = -141.4 eV/cell; density of states at the Fermi level = 0.266 states/eV per atom; total magnetic moment = 0.0 Bohr magnetons per cell
1.0
-2.7695 -5.6451 -1.2633
0.7089 -1.7834 6.4151
-3.0856 5.4587 -1.3476
Ca Hf Ta N
4 1 3 8
Direct
0.5000 0.0000 0.0000 Ca
0.5000 0.0000 0.5000 Ca
0.0000 0.0000 0.0000 Ca
0.0000 0.0000 0.5000 Ca
0.0000 0.5000 0.0000 Hf
0.5000 0.5000 0.0000 Ta
0.5000 0.5000 0.5000 Ta
0.0000 0.5000 0.5000 Ta
0.2403 0.7120 0.9717 N
0.2403 0.7120 0.4806 N
0.2624 0.2872 0.5248 N
0.7314 0.7120 0.9717 N
0.2686 0.2880 0.0283 N
0.7376 0.7128 0.4752 N
0.7597 0.2880 0.5194 N
0.7597 0.2880 0.0283 N

6.
LaSiAu | the Alexandria database | PBE | relaxed; E = -14.7 eV/cell; density of states at the Fermi level = 0.568 states/eV per atom; total magnetic moment = 0.0 Bohr magnetons per cell
1.0
-6.0270 0.2379 -0.6128
-5.1494 -3.0765 0.0249
-1.3765 0.4790 3.1683
Au La Si
1 1 1
Direct
0.0291 0.0291 0.9709 Au
0.3337 0.3337 0.6663 La
0.6373 0.6373 0.3627 Si